Pr3TcO6, relaxed, DFT GGA-PBE; formation energy without anion corrections = -2.60 eV/atom
1.0
-0.232 -0.335 5.767
6.002 -4.500 -0.020
3.084 6.819 0.520
O Tc Pr
12 2 6
Cartesian
5.325 -2.087 1.091 O
6.602 -1.480 4.165 O
5.768 1.446 4.351 O
2.281 3.506 1.383 O
5.687 -4.133 4.005 O
3.565 4.123 4.279 O
2.916 0.718 4.194 O
5.278 4.271 1.548 O
3.112 0.574 1.296 O
5.964 1.302 1.453 O
3.605 -2.245 4.000 O
3.194 6.155 1.604 O
5.278 -2.301 2.952 Tc
3.463 4.120 6.150 Tc
7.519 0.581 3.049 Pr
1.936 -0.844 2.742 Pr
4.149 2.169 2.726 Pr
4.627 -0.298 5.499 Pr
6.818 2.683 6.041 Pr
1.235 1.258 5.733 Pr